1.
First-principles (PBE) data for MgSnO2 after structural relaxation, as listed in the Alexandria database.

Lattice parameters (Å, degrees): 8.3343 8.3343 10.0755 95.33 95.33 23.50
Element x y z (fractional)
Mg: 0.1680 0.1680 0.2203
Mg: 0.3113 0.3113 0.0653
Mg: 0.6887 0.6887 0.9347
Mg: 0.8320 0.8320 0.7797
Sn: 0.1591 0.1591 0.6004
Sn: 0.4920 0.4920 0.2027
Sn: 0.5080 0.5080 0.7973
Sn: 0.8409 0.8409 0.3996
O: 0.0440 0.0440 0.6780
O: 0.1827 0.1827 0.0280
O: 0.2959 0.2959 0.2680
O: 0.3849 0.3849 0.7333
O: 0.6151 0.6151 0.2667
O: 0.7041 0.7041 0.7320
O: 0.8173 0.8173 0.9720
O: 0.9560 0.9560 0.3220

Calculated values
- SG = C2/m (12)
- volume (Å³/cell) = 277.8
- mass density (g/cm3) = 4.18
- energy above the lowest structure with this stoichiometry (meV per atom) = 23

2.
First-principles (PBE) data for MgSnO6 after structural relaxation, as listed in the Alexandria database.

Lattice parameters (Å, degrees): 5.7738 5.7738 5.7738 60.00 60.00 60.00
Element x y z (fractional)
Mg: 0.0000 0.0000 0.0000
Sn: 0.5000 0.5000 0.5000
O: 0.2472 0.2472 0.7528
O: 0.2472 0.7528 0.2472
O: 0.2472 0.7528 0.7528
O: 0.7528 0.2472 0.2472
O: 0.7528 0.2472 0.7528
O: 0.7528 0.7528 0.2472

Calculated values
- SG = Fm-3m (225)
- volume (Å³/cell) = 136.1
- mass density (g/cm3) = 2.92

3.
First-principles (PBE) data for MgSnO3 after structural relaxation, as listed in the Alexandria database.

Lattice parameters (Å, degrees): 3.8341 3.8341 3.8341 90.00 90.00 90.00
Element x y z (fractional)
Mg: 0.0000 0.0000 0.0000
Sn: 0.5000 0.5000 0.5000
O: 0.0000 0.0000 0.5000
O: 0.0000 0.5000 0.0000
O: 0.5000 0.0000 0.0000

Calculated values
- SG = Pm-3m (221)
- volume (Å³/cell) = 56.4
- mass density (g/cm3) = 5.63

4.
First-principles (PBE) data for MgSn2O4 after structural relaxation, as listed in the Alexandria database.

Lattice parameters (Å, degrees): 5.6218 5.6218 10.8290 90.00 90.00 147.11
Element x y z (fractional)
Mg: 0.1091 0.8909 0.7500
Mg: 0.8909 0.1091 0.2500
Sn: 0.3687 0.6313 0.5787
Sn: 0.3687 0.6313 0.9213
Sn: 0.6313 0.3687 0.0787
Sn: 0.6313 0.3687 0.4213
O: 0.0000 0.0000 0.0000
O: 0.0000 0.0000 0.5000
O: 0.2764 0.7236 0.1187
O: 0.2764 0.7236 0.3813
O: 0.4827 0.5173 0.7500
O: 0.5173 0.4827 0.2500
O: 0.7236 0.2764 0.6187
O: 0.7236 0.2764 0.8813

Calculated values
- SG = Cmcm (63)
- volume (Å³/cell) = 185.9
- mass density (g/cm3) = 5.82
- energy above the lowest structure with this stoichiometry (meV per atom) = 286

5.
First-principles (PBE) data for MgSn2O6 after structural relaxation, as listed in the Alexandria database.

Lattice parameters (Å, degrees): 4.8405 4.8405 9.6604 90.00 90.00 90.00
Element x y z (fractional)
Mg: 0.0000 0.0000 0.0000
Mg: 0.5000 0.5000 0.5000
Sn: 0.0000 0.0000 0.3322
Sn: 0.0000 0.0000 0.6678
Sn: 0.5000 0.5000 0.1678
Sn: 0.5000 0.5000 0.8322
O: 0.1964 0.1964 0.1668
O: 0.1959 0.1959 0.5000
O: 0.1964 0.1964 0.8332
O: 0.3041 0.6959 0.0000
O: 0.3036 0.6964 0.3332
O: 0.3036 0.6964 0.6668
O: 0.6959 0.3041 0.0000
O: 0.6964 0.3036 0.3332
O: 0.6964 0.3036 0.6668
O: 0.8036 0.8036 0.1668
O: 0.8041 0.8041 0.5000
O: 0.8036 0.8036 0.8332

Calculated values
- SG = P4_2/mnm (136)
- volume (Å³/cell) = 226.3
- mass density (g/cm3) = 5.25

6.
First-principles (PBE) data for MgSnO3 after structural relaxation, as listed in the Alexandria database.

Lattice parameters (Å, degrees): 3.9889 3.9889 3.9889 90.00 90.00 90.00
Element x y z (fractional)
Mg: 0.0000 0.0000 0.0000
Sn: 0.5000 0.5000 0.5000
O: 0.0000 0.5000 0.5000
O: 0.5000 0.0000 0.5000
O: 0.5000 0.5000 0.0000

Calculated values
- SG = Pm-3m (221)
- volume (Å³/cell) = 63.5
- mass density (g/cm3) = 5.00

7.
First-principles (PBE) data for MgSnO2 after structural relaxation, as listed in the Alexandria database.

Lattice parameters (Å, degrees): 5.9356 5.9356 5.9356 90.00 90.00 90.00
Element x y z (fractional)
Mg: 0.0000 0.0000 0.0000
Mg: 0.0000 0.5000 0.5000
Mg: 0.5000 0.0000 0.5000
Mg: 0.5000 0.5000 0.0000
Sn: 0.0000 0.0000 0.5000
Sn: 0.0000 0.5000 0.0000
Sn: 0.5000 0.0000 0.0000
Sn: 0.5000 0.5000 0.5000
O: 0.2500 0.2500 0.2500
O: 0.2500 0.2500 0.7500
O: 0.2500 0.7500 0.2500
O: 0.2500 0.7500 0.7500
O: 0.7500 0.2500 0.2500
O: 0.7500 0.2500 0.7500
O: 0.7500 0.7500 0.2500
O: 0.7500 0.7500 0.7500

Calculated values
- SG = Fm-3m (225)
- volume (Å³/cell) = 209.1
- mass density (g/cm3) = 5.56
- energy above the lowest structure with this stoichiometry (meV per atom) = 866

8.
First-principles (PBE) data for MgSn2O after structural relaxation, as listed in the Alexandria database.

Lattice parameters (Å, degrees): 6.8460 6.8460 6.8460 90.00 90.00 90.00
Element x y z (fractional)
Mg: 0.0000 0.0000 0.0000
Mg: 0.0000 0.5000 0.5000
Mg: 0.5000 0.0000 0.5000
Mg: 0.5000 0.5000 0.0000
Sn: 0.2500 0.2500 0.2500
Sn: 0.2500 0.2500 0.7500
Sn: 0.2500 0.7500 0.2500
Sn: 0.2500 0.7500 0.7500
Sn: 0.7500 0.2500 0.2500
Sn: 0.7500 0.2500 0.7500
Sn: 0.7500 0.7500 0.2500
Sn: 0.7500 0.7500 0.7500
O: 0.0000 0.0000 0.5000
O: 0.0000 0.5000 0.0000
O: 0.5000 0.0000 0.0000
O: 0.5000 0.5000 0.5000

Calculated values
- SG = Fm-3m (225)
- volume (Å³/cell) = 320.9
- mass density (g/cm3) = 5.75
- energy above the lowest structure with this stoichiometry (meV per atom) = 423

9.
First-principles (PBE) data for MgSn2O2 after structural relaxation, as listed in the Alexandria database.

Lattice parameters (Å, degrees): 5.0149 5.0149 8.1363 90.00 90.00 90.00
Element x y z (fractional)
Mg: 0.0000 0.0000 0.0000
Mg: 0.5000 0.5000 0.5000
Sn: 0.0000 0.5000 0.2500
Sn: 0.0000 0.5000 0.7500
Sn: 0.5000 0.0000 0.2500
Sn: 0.5000 0.0000 0.7500
O: 0.0000 0.0000 0.2344
O: 0.0000 0.0000 0.7656
O: 0.5000 0.5000 0.2656
O: 0.5000 0.5000 0.7344

Calculated values
- SG = I4/mmm (139)
- volume (Å³/cell) = 204.6
- mass density (g/cm3) = 4.77
- energy above the lowest structure with this stoichiometry (meV per atom) = 224

10.
First-principles (PBE) data for Mg2SnO after structural relaxation, as listed in the Alexandria database.

Lattice parameters (Å, degrees): 6.1514 6.1514 8.4892 90.00 90.00 90.00
Element x y z (fractional)
Mg: 0.1072 0.2500 0.1250
Mg: 0.2500 0.6072 0.3750
Mg: 0.2500 0.8928 0.8750
Mg: 0.3928 0.2500 0.6250
Mg: 0.6072 0.7500 0.6250
Mg: 0.7500 0.1072 0.8750
Mg: 0.7500 0.3928 0.3750
Mg: 0.8928 0.7500 0.1250
Sn: 0.0000 0.0000 0.5000
Sn: 0.0000 0.5000 0.7500
Sn: 0.5000 0.0000 0.2500
Sn: 0.5000 0.5000 0.0000
O: 0.0000 0.0000 0.0000
O: 0.0000 0.5000 0.2500
O: 0.5000 0.0000 0.7500
O: 0.5000 0.5000 0.5000

Calculated values
- SG = I-42d (122)
- volume (Å³/cell) = 321.2
- mass density (g/cm3) = 3.79
- energy above the lowest structure with this stoichiometry (meV per atom) = 61

Total moment list, top to bottom, in Bohr magnetons per cell: 0.0; 6.0; 0.6; 0.0; 4.0; 0.0; 0.0; 0.0; 0.0; 0.0
Raw total energy list, top to bottom, in eV per atom: -5.70; -4.72; -5.11; -5.67; -5.82; -5.54; -4.86; -3.53; -4.73; -4.21
Raw formation energy list, top to bottom, in eV per atom: -1.825; -0.301; -1.019; -1.462; -1.450; -1.450; -0.982; 0.109; -0.831; -1.175